(1)
Computed, not measured: crystalline BaHfPS2 at its relaxed geometry at the PBE level of DFT.

POSCAR file:
```
BaHfPS2
1.0
5.016 0.000 0.000
0.000 5.016 0.000
0.000 0.000 5.078
Ba Hf P S
1 1 1 2
Direct
0.000 0.000 0.000
0.500 0.500 0.500
0.500 0.500 0.000
0.000 0.500 0.500
0.500 0.000 0.500
```

Calculated values
The value obtained for the density of states at the Fermi level is 2.02 states/eV per cell. The calculation puts the uncorrected formation energy at -1339 meV per atom. As for the energy above the most stable polymorph in this dataset: 0 meV/atom. Its symmetry is P4/mmm. The volume comes out at 25.5 Å³ per atom.

=====

(2)
Computed, not measured: crystalline KTl8Sn4 at its relaxed geometry at the PBE level of DFT.

POSCAR file:
```
KTl8Sn4
1.0
-5.646 5.646 3.242
5.646 -5.646 3.242
5.646 5.646 -3.242
K Tl Sn
1 8 4
Direct
0.000 0.000 0.000
0.000 0.352 0.352
0.000 0.648 0.648
0.289 0.500 0.789
0.352 0.000 0.352
0.500 0.289 0.789
0.500 0.711 0.211
0.648 0.000 0.648
0.711 0.500 0.211
0.000 0.000 0.500
0.000 0.500 0.000
0.500 0.000 0.000
0.500 0.500 0.500
```

Calculated values
The value obtained for the density of states at the Fermi level is 6.96 states/eV per cell. Its formation enthalpy at 0 K is -0.0026 eV per atom. Its symmetry is I4/mmm. The volume comes out at 31.8 Å³ per atom.

=====

(3)
Computed, not measured: crystalline ScAg2Cl at its relaxed geometry at the PBE level of DFT.

POSCAR file:
```
ScAg2Cl
1.0
3.830 0.000 0.000
0.000 3.830 0.000
0.000 0.000 5.509
Sc Ag Cl
1 2 1
Direct
0.000 0.000 0.000
0.000 0.500 0.500
0.500 0.000 0.500
0.500 0.500 0.000
```

Calculated values
The value obtained for the density of states at the Fermi level is 2.37 states/eV per cell. The calculation puts the uncorrected formation energy at -323 meV per atom. As for the energy above the most stable polymorph in this dataset: 237 meV/atom. Its symmetry is P4/mmm. The volume comes out at 20.2 Å³ per atom.

=====

(4)
Computed, not measured: crystalline K2Ni2H at its relaxed geometry at the PBE level of DFT.

POSCAR file:
```
K2Ni2H
1.0
-1.664 1.664 9.018
1.664 -1.664 9.018
1.664 1.664 -9.018
K Ni H
2 2 1
Direct
0.092 0.092 0.000
0.908 0.908 0.000
0.250 0.750 0.500
0.750 0.250 0.500
0.500 0.500 0.000
```

Calculated values
The value obtained for the density of states at the Fermi level is 4.46 states/eV per cell. As for the energy above the most stable polymorph in this dataset: 0 meV/atom. Its symmetry is I4/mmm. The volume comes out at 20.0 Å³ per atom.